(1)
DyThHgSb GGA-PBE optimized geometry; total DFT energy (no corrections) = -18.47 eV per cell; theoretical density = 10.8 g/cm³; formation energy (no corrections) = -2.02 eV/f.u.
1.0
0.000 3.803 3.803
3.803 0.000 3.803
3.803 3.803 0.000
Dy Th Hg Sb
1 1 1 1
direct
0.000 0.000 0.000
0.500 0.500 0.500
0.750 0.750 0.750
0.250 0.250 0.250

=====

(2)
Pm2ThSc GGA-PBE optimized geometry; total DFT energy (no corrections) = -22.35 eV per cell; theoretical density = 7.5 g/cm³
1.0
0.000 3.977 3.977
3.977 0.000 3.977
3.977 3.977 0.000
Pm Th Sc
2 1 1
direct
0.250 0.250 0.250
0.750 0.750 0.750
0.000 0.000 0.000
0.500 0.500 0.500

=====

(3)
Ce5Sb2Os GGA-PBE optimized geometry; total DFT energy (no corrections) = -104.87 eV per cell; theoretical density = 8.6 g/cm³; formation energy (no corrections) = -3.29 eV/f.u.
1.0
2.878 -4.556 0.000
2.878 4.556 0.000
0.000 0.000 16.616
Ce Sb Os
10 4 2
direct
0.072 0.928 0.598
0.072 0.928 0.902
0.280 0.720 0.250
0.376 0.624 0.631
0.376 0.624 0.869
0.624 0.376 0.131
0.624 0.376 0.369
0.720 0.280 0.750
0.928 0.072 0.098
0.928 0.072 0.402
0.282 0.718 0.061
0.282 0.718 0.439
0.718 0.282 0.561
0.718 0.282 0.939
0.053 0.947 0.750
0.947 0.053 0.250

=====

(4)
PuCd2Au GGA-PBE optimized geometry; total DFT energy (no corrections) = -19.64 eV per cell; theoretical density = 12.0 g/cm³
1.0
0.000 3.580 3.580
3.580 0.000 3.580
3.580 3.580 0.000
Pu Cd Au
1 2 1
direct
0.000 0.000 0.000
0.250 0.250 0.250
0.750 0.750 0.750
0.500 0.500 0.500

=====

(5)
Rb2BaV2S7 GGA-PBE optimized geometry; total DFT energy (no corrections) = -64.02 eV per cell; theoretical density = 2.7 g/cm³; formation energy (no corrections) = -13.03 eV/f.u.
1.0
3.372 1.947 9.766
-3.372 1.947 9.766
0.000 -3.893 9.766
Rb Ba V S
2 1 2 7
direct
0.175 0.175 0.175
0.825 0.825 0.825
0.000 0.000 0.000
0.425 0.425 0.425
0.575 0.575 0.575
0.095 0.417 0.702
0.298 0.583 0.905
0.417 0.702 0.095
0.500 0.500 0.500
0.583 0.905 0.298
0.702 0.095 0.417
0.905 0.298 0.583

=====

(6)
Y2VZn2 GGA-PBE optimized geometry; total DFT energy (no corrections) = -49.37 eV per cell; theoretical density = 5.4 g/cm³
1.0
7.070 0.000 0.000
0.000 7.070 0.000
0.000 0.000 4.445
Y V Zn
4 2 4
direct
0.181 0.319 0.000
0.319 0.819 0.000
0.681 0.181 0.000
0.819 0.681 0.000
0.000 0.000 0.500
0.500 0.500 0.500
0.127 0.627 0.500
0.373 0.127 0.500
0.627 0.873 0.500
0.873 0.373 0.500

=====

(7)
CdBiOF2 GGA-PBE optimized geometry; total DFT energy (no corrections) = -20.13 eV per cell; theoretical density = 6.5 g/cm³; formation energy (no corrections) = -6.63 eV/f.u.
1.0
4.626 0.000 0.000
0.000 4.626 0.000
0.000 0.000 4.501
Cd Bi O F
1 1 1 2
direct
0.000 0.000 0.000
0.500 0.500 0.500
0.500 0.500 0.000
0.000 0.500 0.500
0.500 0.000 0.500

=====

(8)
CsMgBi GGA-PBE optimized geometry; total DFT energy (no corrections) = -14.69 eV per cell; theoretical density = 4.5 g/cm³
1.0
5.015 0.000 0.000
-2.508 4.343 0.000
0.000 0.000 12.341
Cs Mg Bi
2 2 2
direct
0.000 0.000 0.000
0.000 0.000 0.500
0.333 0.667 0.250
0.667 0.333 0.750
0.333 0.667 0.750
0.667 0.333 0.250

=====

(9)
KMnGe2S6 GGA-PBE optimized geometry; total DFT energy (no corrections) = -97.85 eV per cell; theoretical density = 2.7 g/cm³; formation energy (no corrections) = -4.66 eV/f.u.
1.0
6.778 -6.478 0.000
6.778 6.478 0.000
-3.054 0.000 6.142
K Mn Ge S
2 2 4 12
direct
0.178 0.822 0.750
0.822 0.178 0.250
0.316 0.684 0.250
0.684 0.316 0.750
0.139 0.301 0.866
0.301 0.139 0.366
0.699 0.861 0.634
0.861 0.699 0.134
0.089 0.619 0.269
0.105 0.174 0.080
0.174 0.105 0.580
0.335 0.467 0.993
0.381 0.911 0.231
0.467 0.335 0.493
0.533 0.665 0.507
0.619 0.089 0.769
0.665 0.533 0.007
0.826 0.895 0.420
0.895 0.826 0.920
0.911 0.381 0.731

=====

(10)
NdTh2Pb9 GGA-PBE optimized geometry; total DFT energy (no corrections) = -56.26 eV per cell; theoretical density = 11.5 g/cm³
1.0
4.914 0.000 0.000
0.000 4.914 0.000
0.000 0.000 14.765
Nd Th Pb
1 2 9
direct
0.000 0.000 0.000
0.000 0.000 0.337
0.000 0.000 0.663
0.000 0.500 0.168
0.000 0.500 0.500
0.000 0.500 0.832
0.500 0.000 0.168
0.500 0.000 0.500
0.500 0.000 0.832
0.500 0.500 0.000
0.500 0.500 0.333
0.500 0.500 0.667

=====

(11)
Nd4N2Cl3 GGA-PBE optimized geometry; total DFT energy (no corrections) = -55.54 eV per cell; theoretical density = 5.7 g/cm³; formation energy (no corrections) = -14.28 eV/f.u.
1.0
7.164 -1.761 0.000
7.164 1.761 0.000
-1.695 0.000 8.214
Nd N Cl
4 2 3
direct
0.094 0.094 0.210
0.320 0.320 0.395
0.680 0.680 0.605
0.906 0.906 0.790
0.299 0.299 0.689
0.701 0.701 0.311
0.000 0.000 0.500
0.412 0.412 0.099
0.588 0.588 0.901

=====

(12)
Nd4AlPt GGA-PBE optimized geometry; total DFT energy (no corrections) = -62.09 eV per cell; theoretical density = 7.0 g/cm³
1.0
2.752 -10.528 0.000
2.752 10.528 0.000
0.000 0.000 6.503
Nd Al Pt
8 2 2
direct
0.054 0.946 0.500
0.196 0.804 0.759
0.206 0.794 0.273
0.395 0.605 0.524
0.605 0.395 0.024
0.794 0.206 0.773
0.804 0.196 0.259
0.946 0.054 0.000
0.342 0.658 0.013
0.658 0.342 0.513
0.080 0.920 0.006
0.920 0.080 0.506